Record 1
The following is a PBE-GGA calculation of crystalline Y2Tm12Pu at its relaxed geometry, from the Alexandria database.

Values from the calculation:
The total magnetic moment is 0.7 Bohr magnetons per cell.

a = 6.3579 Å, b = 6.3579 Å, c = 24.0877 Å
α = 90.00°, β = 90.00°, γ = 90.00°
Space group P4/nbm (No. 125, origin choice 2)
Asymmetric unit:
Y (0.2500, 0.7500, 0.2276)
Tm (0.0001, 0.9999, 0.3956)
Tm (0.0811, 0.5811, 0.0618)
Tm (0.2500, 0.2500, 0.1622)
Tm (0.2500, 0.2500, 0.2910)
Pu (0.2500, 0.7500, 0.5000)

=====

Record 2
The following is a PBE-GGA calculation of crystalline YTmPu at its relaxed geometry, from the Alexandria database.

Values from the calculation:
The total magnetic moment is 5.7 Bohr magnetons per cell.

a = 5.5970 Å, b = 5.5970 Å, c = 3.2731 Å
α = 90.00°, β = 90.00°, γ = 120.00°
Space group P-6m2 (No. 187)
Asymmetric unit:
Y (0.0000, 0.0000, 0.0000)
Tm (0.3333, 0.6667, 0.0000)
Pu (0.6667, 0.3333, 0.5000)

=====

Record 3
The following is a PBE-GGA calculation of crystalline Y12Tm7Pu at its relaxed geometry, from the Alexandria database.

Values from the calculation:
The total magnetic moment is 15.0 Bohr magnetons per cell.

a = 13.3311 Å, b = 13.3311 Å, c = 12.3454 Å
α = 90.00°, β = 90.00°, γ = 120.00°
Space group R-3m (No. 166, hexagonal axes)
Asymmetric unit:
Y (0.0000, 0.2600, 0.0000)
Y (0.0418, 0.5209, 0.1234)
Tm (0.0000, 0.0000, 0.0000)
Tm (0.0879, 0.1759, 0.7614)
Pu (0.0000, 0.0000, 0.5000)

=====

Record 4
The following is a PBE-GGA calculation of crystalline YTm2Pu at its relaxed geometry, from the Alexandria database.

Values from the calculation:
The total magnetic moment is 6.3 Bohr magnetons per cell.

a = 4.9469 Å, b = 4.9469 Å, c = 4.9050 Å
α = 90.00°, β = 90.00°, γ = 90.00°
Space group P4/mmm (No. 123)
Asymmetric unit:
Y (0.0000, 0.0000, 0.0000)
Tm (0.0000, 0.5000, 0.5000)
Pu (0.5000, 0.5000, 0.0000)

=====

Record 5
The following is a PBE-GGA calculation of crystalline YTm2Pu at its relaxed geometry, from the Alexandria database.

Values from the calculation:
The total magnetic moment is 17.8 Bohr magnetons per cell.

a = 3.4815 Å, b = 3.4815 Å, c = 34.1665 Å
α = 90.00°, β = 90.00°, γ = 120.00°
Space group R-3m (No. 166, hexagonal axes)
Asymmetric unit:
Y (0.0000, 0.0000, 0.0000)
Tm (0.0000, 0.0000, 0.2487)
Pu (0.0000, 0.0000, 0.5000)

=====

Record 6
The following is a PBE-GGA calculation of crystalline YTm4Pu at its relaxed geometry, from the Alexandria database.

Values from the calculation:
The total magnetic moment is 25.9 Bohr magnetons per cell.

a = 11.2627 Å, b = 11.2627 Å, c = 6.6648 Å
α = 90.00°, β = 90.00°, γ = 90.00°
Space group I4_1md (No. 109)
Asymmetric unit:
Y (0.0000, 0.0000, 0.0000)
Tm (0.0000, 0.2517, 0.4774)
Tm (0.0000, 0.2727, 0.9655)
Pu (0.0000, 0.0000, 0.4774)

=====

Record 7
The following is a PBE-GGA calculation of crystalline Tm2PuZn at its relaxed geometry, from the Alexandria database.

Values from the calculation:
The total magnetic moment is 6.5 Bohr magnetons per cell.

a = 3.4347 Å, b = 3.4347 Å, c = 8.5847 Å
α = 90.00°, β = 90.00°, γ = 90.00°
Space group P4/mmm (No. 123)
Asymmetric unit:
Tm (0.0000, 0.0000, 0.2124)
Pu (0.5000, 0.5000, 0.5000)
Zn (0.5000, 0.5000, 0.0000)

=====

Record 8
The following is a PBE-GGA calculation of crystalline TmPuZn17 at its relaxed geometry, from the Alexandria database.

Values from the calculation:
The total magnetic moment is 16.5 Bohr magnetons per cell.

a = 8.9677 Å, b = 8.9677 Å, c = 13.1863 Å
α = 90.00°, β = 90.00°, γ = 120.00°
Space group R3m (No. 160, hexagonal axes)
Asymmetric unit:
Tm (0.0000, 0.0000, 0.0000)
Pu (0.0000, 0.0000, 0.3300)
Zn (0.0000, 0.0000, 0.5662)
Zn (0.0000, 0.0000, 0.7662)
Zn (0.0012, 0.2982, 0.6653)
Zn (0.0021, 0.5010, 0.1646)
Zn (0.0105, 0.5052, 0.8171)
Zn (0.1715, 0.3431, 0.8473)

=====

Record 9
The following is a PBE-GGA calculation of crystalline Tm2PuZn at its relaxed geometry, from the Alexandria database.

Values from the calculation:
The total magnetic moment is 19.2 Bohr magnetons per cell.

a = 3.3737 Å, b = 3.3737 Å, c = 33.2544 Å
α = 90.00°, β = 90.00°, γ = 120.00°
Space group R-3m (No. 166, hexagonal axes)
Asymmetric unit:
Tm (0.0000, 0.0000, 0.0990)
Pu (0.0000, 0.0000, 0.0000)
Zn (0.0000, 0.0000, 0.5000)

=====

Record 10
The following is a PBE-GGA calculation of crystalline Tm5PuZn4 at its relaxed geometry, from the Alexandria database.

Values from the calculation:
The total magnetic moment is 6.4 Bohr magnetons per cell.

a = 3.4980 Å, b = 3.4980 Å, c = 18.9961 Å
α = 90.00°, β = 90.00°, γ = 90.00°
Space group P4/mmm (No. 123)
Asymmetric unit:
Tm (0.0000, 0.0000, 0.0000)
Tm (0.0000, 0.0000, 0.1865)
Tm (0.0000, 0.0000, 0.3722)
Pu (0.5000, 0.5000, 0.5000)
Zn (0.5000, 0.5000, 0.0937)
Zn (0.5000, 0.5000, 0.2801)

=====

Record 11
The following is a PBE-GGA calculation of crystalline TmPuZn at its relaxed geometry, from the Alexandria database.

Values from the calculation:
The total magnetic moment is 5.9 Bohr magnetons per cell.

a = 5.0555 Å, b = 5.0555 Å, c = 3.2380 Å
α = 90.00°, β = 90.00°, γ = 120.00°
Space group P3m1 (No. 156)
Asymmetric unit:
Tm (0.0000, 0.0000, 0.0000)
Pu (0.3333, 0.6667, 0.4319)
Zn (0.6667, 0.3333, 0.7365)

=====

Record 12
The following is a PBE-GGA calculation of crystalline TmPu3Zn8 at its relaxed geometry, from the Alexandria database.

Values from the calculation:
The total magnetic moment is 5.7 Bohr magnetons per cell.

a = 5.4701 Å, b = 5.4701 Å, c = 8.7412 Å
α = 90.00°, β = 90.00°, γ = 120.00°
Space group P3m1 (No. 156)
Asymmetric unit:
Tm (0.0000, 0.0000, 0.0000)
Pu (0.0000, 0.0000, 0.3791)
Pu (0.6667, 0.3333, 0.4911)
Pu (0.6667, 0.3333, 0.8543)
Zn (0.1665, 0.3329, 0.6832)
Zn (0.3333, 0.6667, 0.4272)
Zn (0.3333, 0.6667, 0.9303)
Zn (0.5017, 0.0033, 0.1767)

=====

Record 13
The following is a PBE-GGA calculation of crystalline TmPuZn4 at its relaxed geometry, from the Alexandria database.

Values from the calculation:
The total magnetic moment is 21.8 Bohr magnetons per cell.

a = 7.6920 Å, b = 7.6920 Å, c = 7.6920 Å
α = 90.00°, β = 90.00°, γ = 90.00°
Space group F-43m (No. 216)
Asymmetric unit:
Tm (0.0000, 0.0000, 0.0000)
Pu (0.2500, 0.2500, 0.7500)
Zn (0.1251, 0.1251, 0.3749)

=====

Record 14
The following is a PBE-GGA calculation of crystalline TmPuZn at its relaxed geometry, from the Alexandria database.

Values from the calculation:
The total magnetic moment is 12.6 Bohr magnetons per cell.

a = 3.4553 Å, b = 3.4553 Å, c = 12.3400 Å
α = 90.00°, β = 90.00°, γ = 90.00°
Space group I4mm (No. 107)
Asymmetric unit:
Tm (0.0000, 0.0000, 0.0000)
Pu (0.0000, 0.0000, 0.7033)
Zn (0.0000, 0.0000, 0.3582)

=====

Record 15
The following is a PBE-GGA calculation of crystalline Tm2PuZn at its relaxed geometry, from the Alexandria database.

Values from the calculation:
The total magnetic moment is 19.0 Bohr magnetons per cell.

a = 3.4836 Å, b = 3.4836 Å, c = 30.2784 Å
α = 90.00°, β = 90.00°, γ = 120.00°
Space group R3m (No. 160, hexagonal axes)
Asymmetric unit:
Tm (0.0000, 0.0000, 0.0000)
Tm (0.0000, 0.0000, 0.1860)
Pu (0.0000, 0.0000, 0.7596)
Zn (0.0000, 0.0000, 0.5933)

=====

Record 16
The following is a PBE-GGA calculation of crystalline Tm2PuZn at its relaxed geometry, from the Alexandria database.

Values from the calculation:
The total magnetic moment is 6.2 Bohr magnetons per cell.

a = 5.2750 Å, b = 5.2750 Å, c = 3.5186 Å
α = 90.00°, β = 90.00°, γ = 90.00°
Space group P4/mmm (No. 123)
Asymmetric unit:
Tm (0.0000, 0.5000, 0.0000)
Pu (0.0000, 0.0000, 0.5000)
Zn (0.5000, 0.5000, 0.5000)

=====

Record 17
The following is a PBE-GGA calculation of crystalline Tm2PuZn6 at its relaxed geometry, from the Alexandria database.

Values from the calculation:
The total magnetic moment is 5.6 Bohr magnetons per cell.

a = 7.8385 Å, b = 7.8385 Å, c = 3.3138 Å
α = 90.00°, β = 90.00°, γ = 120.00°
Space group P6/mmm (No. 191)
Asymmetric unit:
Tm (0.3333, 0.6667, 0.0000)
Pu (0.0000, 0.0000, 0.0000)
Zn (0.0000, 0.3364, 0.5000)

=====

Record 18
The following is a PBE-GGA calculation of crystalline TmPuZn at its relaxed geometry, from the Alexandria database.

Values from the calculation:
The total magnetic moment is 23.1 Bohr magnetons per cell.

a = 3.6018 Å, b = 15.9254 Å, c = 4.9148 Å
α = 90.00°, β = 90.00°, γ = 90.00°
Space group Cmcm (No. 63)
Asymmetric unit:
Tm (0.0000, 0.0767, 0.2500)
Pu (0.0000, 0.2374, 0.7500)
Zn (0.0000, 0.4184, 0.2500)

=====

Record 19
The following is a PBE-GGA calculation of crystalline TmPuZn4 at its relaxed geometry, from the Alexandria database.

Values from the calculation:
The total magnetic moment is 5.7 Bohr magnetons per cell.

a = 4.5842 Å, b = 4.5842 Å, c = 6.4769 Å
α = 90.00°, β = 90.00°, γ = 120.00°
Space group P6/mmm (No. 191)
Asymmetric unit:
Tm (0.0000, 0.0000, 0.0000)
Pu (0.0000, 0.0000, 0.5000)
Zn (0.3333, 0.6667, 0.2479)

=====

Record 20
The following is a PBE-GGA calculation of crystalline TmPuZr at its relaxed geometry, from the Alexandria database.

Values from the calculation:
The total magnetic moment is 11.6 Bohr magnetons per cell.

a = 3.3252 Å, b = 3.3252 Å, c = 14.2102 Å
α = 90.00°, β = 90.00°, γ = 90.00°
Space group I4mm (No. 107)
Asymmetric unit:
Tm (0.0000, 0.0000, 0.0000)
Pu (0.0000, 0.0000, 0.6799)
Zr (0.0000, 0.0000, 0.3351)

=====

| no. | final energy (eV/atom) |
| --- | --- |
| 1 | -4.81 |
| 2 | -8.23 |
| 3 | -6.04 |
| 4 | -7.29 |
| 5 | -7.33 |
| 6 | -5.70 |
| 7 | -6.22 |
| 8 | -2.31 |
| 9 | -5.94 |
| 10 | -4.42 |
| 11 | -6.64 |
| 12 | -4.99 |
| 13 | -4.20 |
| 14 | -6.76 |
| 15 | -6.13 |
| 16 | -6.10 |
| 17 | -3.72 |
| 18 | -6.80 |
| 19 | -4.20 |
| 20 | -9.00 |